Record 1
A plane-wave DFT calculation with GGA-PBE was carried out for V2RhC2 after structural relaxation.

Properties
- DFT formation energy: 13 meV/atom
- Distance to the lowest polymorph of the same formula: 0 meV/atom
- Calculated total energy: -0.32318 hartree per atom
- V: 9.8 A^3/atom
- Crystal system: tetragonal

The structure in extended XYZ format:
```
10
Lattice="5.866 0.000 0.000 0.000 5.866 0.000 0.000 0.000 2.850" Properties=species:S:1:pos:R:3 pbc="T T T"
V 5.039 2.106 1.425
C 0.919 2.014 0.000
V 3.760 5.039 1.425
C 2.014 4.947 0.000
Rh 0.000 0.000 0.000
C 4.947 3.852 0.000
C 3.852 0.919 0.000
V 2.106 0.827 1.425
V 0.827 3.760 1.425
Rh 2.933 2.933 0.000
```

=====

Record 2
A plane-wave DFT calculation with GGA-PBE was carried out for KMnCl3 after structural relaxation.

Properties
- Calculated total energy: -0.16955 hartree per atom
- V: 25.5 A^3/atom
- Crystal system: orthorhombic
- Formation energy without anion corrections: -1.45 eV/atom

The structure in extended XYZ format:
```
20
Lattice="-2.443 -2.976 0.642 4.701 -2.283 7.303 -8.397 8.641 8.106" Properties=species:S:1:pos:R:3 pbc="T T T"
Cl -2.226 0.279 10.623
Mn -1.235 1.599 8.649
Cl -6.697 3.345 7.827
Cl 2.495 -2.214 5.163
K -0.691 -1.978 6.003
Cl -8.098 7.007 7.604
Cl 0.558 0.036 8.225
Cl -5.109 2.989 12.215
Cl -1.030 0.393 3.837
Cl 1.959 -3.626 8.448
Mn -0.274 -0.666 1.801
K -4.264 0.421 3.532
Mn -5.865 4.048 14.251
Cl -3.198 3.242 8.794
Mn -4.904 1.782 7.403
K -5.448 5.359 10.048
K -1.875 2.960 12.520
Cl -2.941 0.140 7.258
Cl -3.913 3.103 5.429
Cl -8.634 5.596 10.888
```

=====

Record 3
A plane-wave DFT calculation with GGA-PBE was carried out for Ho3Cu2Os after structural relaxation.

Properties
- DFT formation energy: -269 meV/atom
- Distance to the lowest polymorph of the same formula: 3 meV/atom
- Calculated total energy: -0.21295 hartree per atom
- V: 20.3 A^3/atom
- Crystal system: orthorhombic

The structure in extended XYZ format:
```
12
Lattice="-4.469 -1.917 -0.106 -0.209 -5.949 4.823 -1.929 4.214 5.114" Properties=species:S:1:pos:R:3 pbc="T T T"
Os -1.566 -2.607 1.557
Cu -2.525 -0.513 4.128
Ho -4.247 -2.594 2.774
Cu 0.000 0.000 0.000
Ho -3.698 2.238 3.827
Os -3.112 -5.260 3.160
Ho -5.249 -0.406 5.430
Cu -0.965 2.107 2.557
Cu -4.082 -3.139 5.704
Ho -1.358 -3.246 4.402
Ho -2.700 0.059 1.182
Ho -2.360 -1.059 7.057
```

=====

Record 4
A plane-wave DFT calculation with GGA-PBE was carried out for Pr3Ni7Ag2 after structural relaxation.

Properties
- DFT formation energy: -219 meV/atom
- Calculated total energy: -0.19334 hartree per atom
- V: 16.7 A^3/atom
- Crystal system: trigonal

The structure in extended XYZ format:
```
12
Lattice="4.990 0.000 1.562 2.251 4.454 1.562 -0.080 -0.049 9.009" Properties=species:S:1:pos:R:3 pbc="T T T"
Ni 1.699 2.576 7.710
Ni 4.094 4.050 4.423
Pr 0.000 0.000 0.000
Ni 4.189 2.576 8.489
Pr 6.201 3.814 6.446
Ni 2.971 1.828 3.644
Ni 5.461 1.828 4.423
Ag 2.412 1.484 1.045
Ni 3.066 0.354 7.710
Ag 4.748 2.920 11.088
Ni 3.580 2.202 6.066
Pr 0.959 0.590 5.687
```

=====

Number 1: DOS at the Fermi energy 8.969 states/eV per cell, magnetic moment 0.00 μB per formula unit. Number 2: DOS at the Fermi energy 0.000 states/eV per cell, magnetic moment 5.00 μB per formula unit. Number 3: DOS at the Fermi energy 6.788 states/eV per cell, magnetic moment 0.00 μB per formula unit. Number 4: DOS at the Fermi energy 8.586 states/eV per cell, magnetic moment 0.00 μB per formula unit.